## CoOF3 (PBE+U)

Data for a relaxed CoOF3 crystal.

Summary:
**Space group**: No. 221
**Crystal system**: cubic
**Density**: 3.69 g cm⁻³
**Total magnetic moment**: 1.5 μB per cell
**Total energy**: -19.31 eV per cell

Cell: 3.901 3.901 3.901 Å, 90.00 90.00 90.00°
Last column: magnetic moment on the atom in μB.
Element x y z (fractional)
Co  0.000  0.000  0.000  3.17
F  0.000  0.000  0.500  0.00
O  0.500  0.500  0.500  -1.66
F  0.000  0.500  0.000  0.12
F  0.500  0.000  0.000  0.21